## one
## Tb6Pr2Nd3 (GGA-PBE)

Data for Tb6Pr2Nd3 after structural relaxation.

Cell and atoms, written as POSCAR:
```
Tb6Pr2Nd3
1.0
5.9597 0.0000 1.7821
2.9799 5.4007 0.8910
-1.3187 0.0000 11.7244
Tb Pr Nd
6 2 3
Direct
0.4166 0.6670 0.7498
0.7497 0.0000 0.7503
0.0836 0.3330 0.7498
0.2503 0.0000 0.2497
0.5834 0.3330 0.2502
0.9164 0.6670 0.2502
0.1666 0.6668 0.5000
0.8334 0.3332 0.5000
0.0000 0.0000 0.0000
0.3357 0.3285 0.0000
0.6643 0.6715 0.0000
```

Computed properties:
The value obtained for the volume is 35.46 A^3/atom. The calculation puts the magnetization at 0.00 μB/cell.

## two
## Tb6Pr2Nd3 (GGA-PBE)

Data for Tb6Pr2Nd3 after structural relaxation.

Cell and atoms, written as POSCAR:
```
Tb6Pr2Nd3
1.0
4.8133 0.0000 0.0000
0.0000 4.8133 0.0000
-2.4067 -2.4067 16.7650
Tb Pr Nd
6 2 3
Direct
0.1212 0.6212 0.2423
0.6212 0.1212 0.2423
0.8788 0.3788 0.7577
0.3788 0.8788 0.7577
0.6940 0.6940 0.3879
0.3060 0.3060 0.6121
0.4537 0.4537 0.9073
0.5463 0.5463 0.0927
0.0000 0.0000 0.0000
0.7968 0.7968 0.5936
0.2032 0.2032 0.4064
```

Computed properties:
The value obtained for the volume is 35.31 A^3/atom. The calculation puts the magnetization at 0.00 μB/cell.

Compare the structures above. Which one is the least stable? two is.